one | Below is crystalline PaPd2Pt3 at its relaxed geometry, with properties calculated at the PBE level.

abc: 5.816 7.128 7.128
angles: 48.47 100.91 100.91
Fractional positions:
Pt: 0.074 0.653 0.655
Pt: 0.574 0.655 0.653
Pt: 0.426 0.345 0.347
Pt: 0.750 0.242 0.758
Pt: 0.926 0.347 0.345
Pt: 0.250 0.758 0.242
Pd: 0.578 0.155 0.162
Pd: 0.422 0.845 0.838
Pd: 0.922 0.838 0.845
Pd: 0.078 0.162 0.155
Pa: 0.750 0.749 0.251
Pa: 0.250 0.251 0.749

Calculated values
As for the space-group type: No. 15. The total magnetic moment comes out at 0.000 Bohr magnetons per cell.

=====

two | Below is crystalline PaPd2Pt3 at its relaxed geometry, with properties calculated at the PBE level.

abc: 5.317 5.317 9.481
angles: 113.78 113.78 64.04
Fractional positions:
Pd: 0.252 0.748 0.000
Pd: 0.750 0.250 0.500
Pd: 0.250 0.750 0.500
Pd: 0.748 0.252 0.000
Pt: 0.676 0.676 0.838
Pt: 0.324 0.324 0.162
Pt: 0.172 0.172 0.344
Pt: 0.828 0.828 0.656
Pt: 0.163 0.163 0.838
Pt: 0.837 0.837 0.162
Pa: 0.342 0.342 0.684
Pa: 0.658 0.658 0.316

Calculated values
As for the space-group type: No. 69. The total magnetic moment comes out at 0.000 Bohr magnetons per cell.

=====

Bottom line: one, by a margin of 0.023 eV/atom.

=====

one | Below is crystalline PuPaPd6 at its relaxed geometry, with properties calculated at the PBE level.

abc: 4.159 4.159 8.317
angles: 90.00 90.00 90.00
Last column: magnetic moment on the atom in μB.
Fractional positions:
Pd: 0.500 0.000 0.740  -0.01
Pd: 0.500 0.500 0.000  -0.01
Pd: 0.500 0.500 0.500  -0.01
Pd: 0.000 0.500 0.260  -0.01
Pd: 0.000 0.500 0.740  -0.01
Pd: 0.500 0.000 0.260  -0.01
Pu: 0.000 0.000 0.000  5.10
Pa: 0.000 0.000 0.500  0.12

Calculated values
As for the space-group type: No. 123. The total magnetic moment comes out at 5.283 Bohr magnetons per cell.

=====

two | Below is crystalline PuPaPd6 at its relaxed geometry, with properties calculated at the PBE level.

abc: 5.496 5.496 7.645
angles: 68.93 68.93 60.00
Last column: magnetic moment on the atom in μB.
Fractional positions:
Pd: 0.441 0.930 0.700  -0.03
Pd: 0.070 0.070 0.300  -0.03
Pd: 0.070 0.559 0.300  -0.03
Pd: 0.930 0.441 0.700  -0.03
Pd: 0.930 0.930 0.700  -0.03
Pd: 0.559 0.070 0.300  -0.03
Pa: 0.000 0.000 0.000  0.05
Pu: 0.500 0.500 0.500  5.14

Calculated values
As for the space-group type: No. 166. The total magnetic moment comes out at 5.199 Bohr magnetons per cell.

=====

Bottom line: one, by a margin of 0.445 eV/atom.

=====

one | Below is crystalline PuPa2Pd at its relaxed geometry, with properties calculated at the PBE level.

abc: 4.981 4.981 4.981
angles: 60.00 60.00 60.00
Last column: magnetic moment on the atom in μB.
Fractional positions:
Pd: 0.500 0.500 0.500  0.07
Pu: 0.000 0.000 0.000  5.25
Pa: 0.750 0.750 0.750  0.69
Pa: 0.250 0.250 0.250  0.69

Calculated values
As for the space-group type: No. 225. The total magnetic moment comes out at 6.919 Bohr magnetons per cell.

=====

two | Below is crystalline PuPa2Pd at its relaxed geometry, with properties calculated at the PBE level.

abc: 3.670 3.670 7.582
angles: 75.99 75.99 60.00
Last column: magnetic moment on the atom in μB.
Fractional positions:
Pa: 0.239 0.239 0.282  -0.06
Pa: 0.092 0.092 0.723  0.00
Pd: 0.665 0.665 0.006  0.00
Pu: 0.504 0.504 0.488  0.89

Calculated values
As for the space-group type: No. 160. The total magnetic moment comes out at 0.777 Bohr magnetons per cell.

=====

Bottom line: one, by a margin of 0.234 eV/atom.

=====

one | Below is crystalline PuPa2Pd at its relaxed geometry, with properties calculated at the PBE level.

abc: 3.200 5.205 5.205
angles: 90.00 90.00 90.00
Last column: magnetic moment on the atom in μB.
Fractional positions:
Pa: 0.000 0.000 0.500  -0.08
Pa: 0.000 0.500 0.000  -0.08
Pu: 0.500 0.500 0.500  4.36
Pd: 0.500 0.000 0.000  0.04

Calculated values
As for the space-group type: No. 123. The total magnetic moment comes out at 4.195 Bohr magnetons per cell.

=====

two | Below is crystalline PuPa2Pd at its relaxed geometry, with properties calculated at the PBE level.

abc: 3.128 3.128 10.985
angles: 81.81 81.81 60.00
Last column: magnetic moment on the atom in μB.
Fractional positions:
Pu: 0.500 0.500 0.500  4.84
Pd: 0.000 0.000 0.000  0.00
Pa: 0.917 0.917 0.249  -0.08
Pa: 0.083 0.083 0.751  -0.08

Calculated values
As for the space-group type: No. 166. The total magnetic moment comes out at 4.780 Bohr magnetons per cell.

=====

Bottom line: one, by a margin of 0.391 eV/atom.

=====

one | Below is crystalline PuPaPd4 at its relaxed geometry, with properties calculated at the PBE level.

abc: 7.220 8.161 5.853
angles: 134.20 106.34 90.00
Last column: magnetic moment on the atom in μB.
Fractional positions:
Pu: 0.675 0.901 0.802  5.17
Pu: 0.325 0.099 0.198  5.17
Pd: 0.001 0.748 0.495  -0.01
Pd: 0.693 0.892 0.296  0.04
Pd: 0.693 0.404 0.296  0.04
Pd: 0.000 0.253 0.000  -0.02
Pd: 0.307 0.596 0.704  0.04
Pd: 0.999 0.252 0.505  -0.01
Pd: 0.000 0.747 0.000  -0.02
Pd: 0.307 0.108 0.704  0.04
Pa: 0.682 0.394 0.788  0.61
Pa: 0.318 0.606 0.212  0.61

Calculated values
As for the space-group type: No. 12. The total magnetic moment comes out at 11.928 Bohr magnetons per cell.

=====

two | Below is crystalline PuPaPd4 at its relaxed geometry, with properties calculated at the PBE level.

abc: 5.435 5.435 5.435
angles: 60.00 60.00 60.00
Last column: magnetic moment on the atom in μB.
Fractional positions:
Pa: 0.000 0.000 0.000  1.11
Pd: 0.625 0.625 0.625  -0.01
Pd: 0.625 0.125 0.625  -0.01
Pd: 0.625 0.625 0.125  -0.01
Pd: 0.125 0.625 0.625  -0.01
Pu: 0.250 0.250 0.250  5.39

Calculated values
As for the space-group type: No. 216. The total magnetic moment comes out at 6.936 Bohr magnetons per cell.

=====

three | Below is crystalline PuPaPd4 at its relaxed geometry, with properties calculated at the PBE level.

abc: 4.584 4.584 6.593
angles: 90.00 90.00 120.00
Last column: magnetic moment on the atom in μB.
Fractional positions:
Pd: 0.667 0.333 0.235  -0.07
Pd: 0.333 0.667 0.235  -0.07
Pd: 0.333 0.667 0.765  -0.07
Pd: 0.667 0.333 0.765  -0.07
Pa: 0.000 0.000 0.000  0.48
Pu: 0.000 0.000 0.500  5.18

Calculated values
As for the space-group type: No. 191. The total magnetic moment comes out at 5.760 Bohr magnetons per cell.

=====

Bottom line: one, by a margin of 0.018 eV/atom.

=====

one | Below is crystalline PuPaPd3 at its relaxed geometry, with properties calculated at the PBE level.

abc: 4.465 5.375 8.871
angles: 82.77 90.00 65.41
Last column: magnetic moment on the atom in μB.
Fractional positions:
Pd: 0.255 0.490 0.255  0.04
Pd: 0.349 0.301 0.966  -0.04
Pd: 0.853 0.293 0.468  -0.01
Pd: 0.147 0.707 0.532  -0.01
Pd: 0.745 0.510 0.745  0.04
Pd: 0.651 0.699 0.034  -0.04
Pa: 0.565 0.871 0.332  0.62
Pa: 0.435 0.129 0.668  0.62
Pu: 0.943 0.113 0.159  5.13
Pu: 0.057 0.887 0.841  5.13

Calculated values
As for the space-group type: No. 12. The total magnetic moment comes out at 11.691 Bohr magnetons per cell.

=====

two | Below is crystalline PuPaPd3 at its relaxed geometry, with properties calculated at the PBE level.

abc: 3.955 3.955 7.364
angles: 105.58 105.58 90.00
Last column: magnetic moment on the atom in μB.
Fractional positions:
Pu: 0.981 0.981 0.962  5.25
Pd: 0.777 0.277 0.554  -0.03
Pd: 0.423 0.423 0.846  -0.06
Pd: 0.277 0.777 0.554  -0.03
Pa: 0.633 0.633 0.265  0.49

Calculated values
As for the space-group type: No. 107. The total magnetic moment comes out at 5.999 Bohr magnetons per cell.

=====

Bottom line: one, by a margin of 0.226 eV/atom.

=====

one | Below is crystalline Pa2RePd at its relaxed geometry, with properties calculated at the PBE level.

abc: 3.090 3.090 10.187
angles: 81.28 81.28 60.00
Fractional positions:
Pa: 0.910 0.910 0.269
Pa: 0.090 0.090 0.731
Re: 0.500 0.500 0.500
Pd: 0.000 0.000 0.000

Calculated values
As for the space-group type: No. 166. The total magnetic moment comes out at 0.000 Bohr magnetons per cell.

=====

two | Below is crystalline Pa2RePd at its relaxed geometry, with properties calculated at the PBE level.

abc: 3.310 3.310 7.670
angles: 90.00 90.00 90.00
Fractional positions:
Pa: 0.000 0.000 0.764
Pa: 0.000 0.000 0.236
Re: 0.500 0.500 0.000
Pd: 0.500 0.500 0.500

Calculated values
As for the space-group type: No. 123. The total magnetic moment comes out at 0.000 Bohr magnetons per cell.

=====

three | Below is crystalline Pa2RePd at its relaxed geometry, with properties calculated at the PBE level.

abc: 4.917 4.917 4.917
angles: 60.00 60.00 60.00
Fractional positions:
Pa: 0.250 0.250 0.250
Pa: 0.750 0.750 0.750
Re: 0.000 0.000 0.000
Pd: 0.500 0.500 0.500

Calculated values
As for the space-group type: No. 225. The total magnetic moment comes out at 0.000 Bohr magnetons per cell.

=====

Bottom line: two, by a margin of 0.060 eV/atom.

=====

one | Below is crystalline Pa2PdRh at its relaxed geometry, with properties calculated at the PBE level.

abc: 4.904 4.904 4.904
angles: 60.00 60.00 60.00
Last column: magnetic moment on the atom in μB.
Fractional positions:
Rh: 0.000 0.000 0.000  -0.01
Pa: 0.250 0.250 0.250  0.16
Pa: 0.750 0.750 0.750  0.16
Pd: 0.500 0.500 0.500  0.00

Calculated values
As for the space-group type: No. 225. The total magnetic moment comes out at 0.368 Bohr magnetons per cell.

=====

two | Below is crystalline Pa2PdRh at its relaxed geometry, with properties calculated at the PBE level.

abc: 4.144 4.419 4.419
angles: 90.00 90.00 90.00
Fractional positions:
Pd: 0.500 0.000 0.000
Pa: 0.000 0.500 0.000
Pa: 0.000 0.000 0.500
Rh: 0.500 0.500 0.500

Calculated values
As for the space-group type: No. 123. The total magnetic moment comes out at 0.000 Bohr magnetons per cell.

=====

Bottom line: one, by a margin of 0.008 eV/atom.

=====

one | Below is crystalline Pa2PdRh at its relaxed geometry, with properties calculated at the PBE level.

abc: 3.108 3.108 10.174
angles: 81.21 81.21 60.00
Fractional positions:
Pa: 0.911 0.911 0.268
Pa: 0.089 0.089 0.732
Pd: 0.000 0.000 0.000
Rh: 0.500 0.500 0.500

Calculated values
As for the space-group type: No. 166. The total magnetic moment comes out at 0.002 Bohr magnetons per cell.

=====

two | Below is crystalline Pa2PdRh at its relaxed geometry, with properties calculated at the PBE level.

abc: 3.518 3.518 6.775
angles: 90.00 90.00 90.00
Fractional positions:
Pd: 0.500 0.500 0.500
Pa: 0.000 0.000 0.767
Pa: 0.000 0.000 0.233
Rh: 0.500 0.500 0.000

Calculated values
As for the space-group type: No. 123. The total magnetic moment comes out at 0.000 Bohr magnetons per cell.

=====

Bottom line: two, by a margin of 0.338 eV/atom.

=====

one | Below is crystalline PaPdRh at its relaxed geometry, with properties calculated at the PBE level.

abc: 3.775 6.065 6.065
angles: 69.41 71.87 71.87
Fractional positions:
Pa: 0.500 0.262 0.738
Pa: 0.500 0.738 0.262
Rh: 0.854 0.646 0.646
Rh: 0.146 0.354 0.354
Pd: 0.147 0.853 0.853
Pd: 0.853 0.147 0.147

Calculated values
As for the space-group type: No. 71. The total magnetic moment comes out at 0.000 Bohr magnetons per cell.

=====

two | Below is crystalline PaPdRh at its relaxed geometry, with properties calculated at the PBE level.

abc: 3.579 3.579 5.167
angles: 110.26 110.26 90.00
Fractional positions:
Rh: 0.938 0.938 0.875
Pa: 0.295 0.295 0.590
Pd: 0.617 0.617 0.234

Calculated values
As for the space-group type: No. 107. The total magnetic moment comes out at 0.000 Bohr magnetons per cell.

=====

three | Below is crystalline PaPdRh at its relaxed geometry, with properties calculated at the PBE level.

abc: 4.571 4.571 4.571
angles: 60.00 60.00 60.00
Fractional positions:
Pd: 0.000 0.000 0.000
Rh: 0.500 0.500 0.500
Pa: 0.250 0.250 0.250

Calculated values
As for the space-group type: No. 216. The total magnetic moment comes out at 0.000 Bohr magnetons per cell.

=====

four | Below is crystalline PaPdRh at its relaxed geometry, with properties calculated at the PBE level.

abc: 3.157 4.569 4.569
angles: 120.00 90.00 90.00
Fractional positions:
Pa: 0.679 0.333 0.667
Rh: 0.116 0.000 0.000
Pd: 0.205 0.667 0.333

Calculated values
As for the space-group type: No. 156. The total magnetic moment comes out at 0.000 Bohr magnetons per cell.

=====

Bottom line: two, by a margin of 0.058 eV/atom.

=====

one | Below is crystalline PaPd2Rh at its relaxed geometry, with properties calculated at the PBE level.

abc: 3.999 4.000 5.211
angles: 112.57 112.56 90.00
Fractional positions:
Rh: 0.500 0.500 0.000
Pa: 0.000 0.000 0.000
Pd: 0.250 0.750 0.500
Pd: 0.750 0.250 0.500

Calculated values
As for the space-group type: No. 139. The total magnetic moment comes out at 0.000 Bohr magnetons per cell.

=====

two | Below is crystalline PaPd2Rh at its relaxed geometry, with properties calculated at the PBE level.

abc: 4.291 4.024 4.024
angles: 90.00 90.00 90.00
Fractional positions:
Pd: 0.000 0.500 0.000
Pd: 0.000 0.000 0.500
Rh: 0.500 0.500 0.500
Pa: 0.500 0.000 0.000

Calculated values
As for the space-group type: No. 123. The total magnetic moment comes out at 0.000 Bohr magnetons per cell.

=====

Bottom line: two, by a margin of 0.080 eV/atom.